Record 1
# HfCd2CoSn

HfCd2CoSn after structural relaxation (PBE-GGA, Alexandria via LeMat-Bulk).

* calculated total energy: -4.32 eV/atom
* Fermi-level density of states: 0.46 states/eV per atom
* total magnetic moment: 0.0 Bohr magnetons per cell
* ΔE_f: 1.3 eV per formula unit
* E above lowest polymorph: 0 meV/atom

Cell and atoms, written as CIF:
```
data_HfCd2CoSn
_chemical_formula_sum 'Hf1 Cd2 Co1 Sn1'
_cell_length_a 4.9592
_cell_length_b 4.9592
_cell_length_c 4.6199
_cell_angle_alpha 90.00
_cell_angle_beta 90.00
_cell_angle_gamma 90.00
_space_group_name_H-M_alt 'P 4/m m m'
_space_group_IT_number 123
_space_group_name_Hall '-P 4 2'
loop_
_atom_site_label
_atom_site_type_symbol
_atom_site_fract_x
_atom_site_fract_y
_atom_site_fract_z
Hf1 Hf 0.0000 0.0000 0.0000
Cd1 Cd 0.0000 0.5000 0.5000
Co1 Co 0.0000 0.0000 0.5000
Sn1 Sn 0.5000 0.5000 0.0000
```

=====

Record 2
# HfZnCdCo

HfZnCdCo after structural relaxation (PBE-GGA, Alexandria via LeMat-Bulk).

* calculated total energy: -4.84 eV/atom
* Fermi-level density of states: 0.91 states/eV per atom
* total magnetic moment: 4.0 Bohr magnetons per cell
* ΔE_f: -0.1 eV per formula unit

Cell and atoms, written as CIF:
```
data_HfZnCdCo
_chemical_formula_sum 'Hf4 Zn4 Cd4 Co4'
_cell_length_a 6.4028
_cell_length_b 6.4028
_cell_length_c 6.4028
_cell_angle_alpha 90.00
_cell_angle_beta 90.00
_cell_angle_gamma 90.00
_space_group_name_H-M_alt 'F -4 3 m'
_space_group_IT_number 216
_space_group_name_Hall 'F -4 2 3'
loop_
_atom_site_label
_atom_site_type_symbol
_atom_site_fract_x
_atom_site_fract_y
_atom_site_fract_z
Hf1 Hf 0.0000 0.0000 0.0000
Zn1 Zn 0.2500 0.2500 0.2500
Cd1 Cd 0.0000 0.0000 0.5000
Co1 Co 0.2500 0.2500 0.7500
```

=====

Record 3
# CdCo2Hg

CdCo2Hg after structural relaxation (PBE-GGA, Alexandria via LeMat-Bulk).

* calculated total energy: -3.47 eV/atom
* Fermi-level density of states: 0.90 states/eV per atom
* total magnetic moment: 6.2 Bohr magnetons per cell
* ΔE_f: 1.5 eV per formula unit

Cell and atoms, written as CIF:
```
data_CdCo2Hg
_chemical_formula_sum 'Cd2 Co4 Hg2'
_cell_length_a 4.1004
_cell_length_b 2.9415
_cell_length_c 10.7311
_cell_angle_alpha 90.00
_cell_angle_beta 90.00
_cell_angle_gamma 90.00
_space_group_name_H-M_alt 'A m m 2'
_space_group_IT_number 38
_space_group_name_Hall 'A 2 -2'
loop_
_atom_site_label
_atom_site_type_symbol
_atom_site_fract_x
_atom_site_fract_y
_atom_site_fract_z
Cd1 Cd 0.0000 0.0000 0.0000
Co1 Co 0.0000 0.0000 0.7178
Co2 Co 0.5000 0.0000 0.6152
Hg1 Hg 0.5000 0.0000 0.3366
```